Here is a geometry-optimized CoBi2RuO8 structure from Alexandria via LeMat-Bulk. Energies are from GGA+U.

Cell: 4.794 4.794 6.766 Å, 90.00 90.00 90.44°
Fractional coordinates of all 12 atoms:
Co  0.000  0.000  0.000
Bi  0.500  0.500  0.247
Bi  0.500  0.500  0.753
Ru  0.000  0.000  0.500
O  0.179  0.821  0.267
O  0.179  0.821  0.733
O  0.289  0.289  0.500
O  0.291  0.291  0.000
O  0.709  0.709  0.000
O  0.711  0.711  0.500
O  0.821  0.179  0.267
O  0.821  0.179  0.733

Electronic total energy in eV per atom: -6.040